# 1
First-principles (PBE) data for HfTeBr after structural relaxation, as listed in Alexandria via LeMat-Bulk.

POSCAR file:
```
HfTeBr
1.0
4.1983 -0.0216 0.0045
0.0469 7.8617 -0.3637
0.0081 1.7933 7.6733
Hf Te Br
2 2 2
Direct
0.5004 0.3818 0.3806 Hf
0.4996 0.6182 0.6194 Hf
0.9991 0.7616 0.7640 Te
0.0009 0.2384 0.2360 Te
0.4999 0.2786 0.7195 Br
0.5001 0.7214 0.2805 Br
```

Calculated values
Space group: P-1
Total moment (μB per cell): 0.00
Crystal system: triclinic
Uncorrected formation energy (eV per atom): -0.630
DFT total energy (eV for the cell shown): -33.32
Relative energy among the computed polymorphs (eV per atom): 0.3161

=====

# 2
First-principles (PBE) data for HfTe2Br5 after structural relaxation, as listed in Alexandria via LeMat-Bulk.

POSCAR file:
```
HfTe2Br5
1.0
-4.3687 -5.5835 -1.9449
-2.1023 -6.2556 5.5389
-8.0529 0.3878 2.4884
Te Br Hf
2 5 1
Direct
0.4942 0.5991 0.4715 Te
0.8740 0.4727 0.5205 Te
0.9577 0.8472 0.3523 Br
0.0177 0.6951 0.9731 Br
0.3112 0.0410 0.9228 Br
0.9856 0.0953 0.6572 Br
0.6080 0.2634 0.0857 Br
0.9744 0.9861 0.0170 Hf
```

Calculated values
Space group: P1
Total moment (μB per cell): 1.00
Crystal system: triclinic
Uncorrected formation energy (eV per atom): -0.796
DFT total energy (eV for the cell shown): -30.97

=====

# 3
First-principles (PBE) data for HfTeBr2 after structural relaxation, as listed in Alexandria via LeMat-Bulk.

POSCAR file:
```
HfTeBr2
1.0
1.9449 0.0000 12.0087
-0.9725 1.6843 12.0087
-0.9725 -1.6843 12.0087
Br Hf Te
2 1 1
Direct
0.8869 0.8869 0.8869 Br
0.1131 0.1131 0.1131 Br
0.5000 0.5000 0.5000 Hf
0.0000 0.0000 0.0000 Te
```

Calculated values
Space group: R-3m
Total moment (μB per cell): 0.00
Crystal system: trigonal
Uncorrected formation energy (eV per atom): -0.628
DFT total energy (eV for the cell shown): -18.95
Relative energy among the computed polymorphs (eV per atom): 0.0802

=====

# 4
First-principles (PBE) data for HfTeBr2 after structural relaxation, as listed in Alexandria via LeMat-Bulk.

POSCAR file:
```
HfTeBr2
1.0
2.7892 -3.7111 -2.1151
3.4999 -2.4600 2.7793
-0.7714 -4.8578 1.3538
Hf Br Te
1 2 1
Direct
0.5000 0.5000 0.5000 Hf
0.7500 0.7500 0.7500 Br
0.2500 0.2500 0.2500 Br
0.0000 0.0000 0.0000 Te
```

Calculated values
Space group: Fm-3m
Total moment (μB per cell): 0.00
Crystal system: cubic
Uncorrected formation energy (eV per atom): 0.071
DFT total energy (eV for the cell shown): -16.16
Relative energy among the computed polymorphs (eV per atom): 0.7792

=====

# 5
First-principles (PBE) data for HfTeBr2 after structural relaxation, as listed in Alexandria via LeMat-Bulk.

POSCAR file:
```
HfTeBr2
1.0
-3.0565 4.3988 -8.0163
1.3494 -8.1428 -4.9827
-3.4419 -2.6452 -5.9369
Hf Te Br
2 2 4
Direct
0.7500 0.2500 0.5000 Hf
0.0000 0.0000 0.0000 Hf
0.2500 0.7500 0.5000 Te
0.5000 0.5000 0.0000 Te
0.7578 0.1250 0.2500 Br
0.3750 0.2422 0.7500 Br
0.8750 0.0078 0.7500 Br
0.9922 0.6250 0.2500 Br
```

Calculated values
Space group: I-42d
Total moment (μB per cell): 0.00
Crystal system: tetragonal
Uncorrected formation energy (eV per atom): -0.709
DFT total energy (eV for the cell shown): -38.55
Relative energy among the computed polymorphs (eV per atom): 0.0000

=====

# 6
First-principles (PBE) data for HfTeBr after structural relaxation, as listed in Alexandria via LeMat-Bulk.

POSCAR file:
```
HfTeBr
1.0
-2.9912 0.5913 2.2659
3.2072 -3.1231 5.0476
3.2096 4.9519 6.0753
Br Hf Te
2 2 2
Direct
0.6542 0.9724 0.6945 Br
0.3458 0.0276 0.3055 Br
0.2543 0.2995 0.4914 Hf
0.7457 0.7005 0.5086 Hf
0.8837 0.5679 0.2281 Te
0.1163 0.4321 0.7719 Te
```

Calculated values
Space group: P-1
Total moment (μB per cell): 0.00
Crystal system: triclinic
Uncorrected formation energy (eV per atom): -0.946
DFT total energy (eV for the cell shown): -35.21
Relative energy among the computed polymorphs (eV per atom): 0.0000

=====

# 7
First-principles (PBE) data for HfTeBr after structural relaxation, as listed in Alexandria via LeMat-Bulk.

POSCAR file:
```
HfTeBr
1.0
3.7595 -0.0293 -0.4722
-1.8844 3.2873 -0.0082
-0.0613 -0.0054 14.6703
Hf Te Br
2 2 2
Direct
0.8370 0.9169 0.7538 Hf
0.1630 0.0831 0.2462 Hf
0.2529 0.6252 0.8780 Te
0.7471 0.3748 0.1220 Te
0.5769 0.7904 0.3673 Br
0.4231 0.2096 0.6327 Br
```

Calculated values
Space group: C2/m
Total moment (μB per cell): 0.00
Crystal system: monoclinic
Uncorrected formation energy (eV per atom): -0.892
DFT total energy (eV for the cell shown): -34.89
Relative energy among the computed polymorphs (eV per atom): 0.0545

=====

# 8
First-principles (PBE) data for HfTh2Te2Br4 after structural relaxation, as listed in Alexandria via LeMat-Bulk.

POSCAR file:
```
HfTh2Te2Br4
1.0
-0.2410 2.5943 2.8661
1.0459 -3.6485 0.7732
22.9828 5.8714 -3.3822
Br Th Te Hf
4 2 2 1
Direct
0.0000 0.0000 0.7355 Br
0.6667 0.3333 0.0687 Br
0.0000 0.0000 0.5634 Br
0.6667 0.3333 0.8966 Br
0.6667 0.3333 0.6491 Th
0.0000 0.0000 0.9829 Th
0.6667 0.3333 0.4045 Te
0.6667 0.3333 0.2496 Te
0.0000 0.0000 0.3270 Hf
```

Calculated values
Space group: P3m1
Total moment (μB per cell): 0.00
Crystal system: trigonal
Uncorrected formation energy (eV per atom): -1.180
DFT total energy (eV for the cell shown): -48.39